(1)
Material: CsScGeSe4
Method: DFT, PBE
State: relaxed

Results
Its space group is P2_1/m (11). As for the crystal system: monoclinic. The calculation puts the total energy at -4.710 eV/atom.

Structure (POSCAR):
```
CsScGeSe4
1.0
-2.7464 -3.4521 -4.8730
-4.5884 -2.8708 4.6197
-4.5780 8.6621 0.8359
Cs Sc Ge Se
2 2 2 8
Cartesian
-9.8518 3.4423 0.5747
-2.0610 -1.1030 0.0078
-7.6786 -0.9265 0.0183
-4.2341 3.2658 0.5642
-5.6688 0.0780 2.6388
-6.2440 2.2613 -2.0562
-5.5186 4.4086 2.8063
-4.1564 -0.6693 -4.4768
-6.3942 -2.0694 -2.2237
-7.7564 3.0086 5.0593
-5.5335 -1.9737 1.4981
-6.3793 4.3130 -0.9156
-7.4238 1.2249 1.6084
-4.4890 1.1143 -1.0259
```

(2)
Material: Cs2ScGeSe4
Method: DFT, PBE
State: relaxed

Results
Its space group is Fddd (70). As for the crystal system: orthorhombic. The calculation puts the total energy at -4.402 eV/atom. Its density of states at the Fermi level is 11.29 states/eV per cell.

Structure (POSCAR):
```
Cs2ScGeSe4
1.0
-3.6770 3.2212 4.4049
-7.0321 2.7360 -2.9560
-7.6293 -9.6215 5.5823
Cs Sc Ge Se
4 2 2 8
Cartesian
-5.5559 -5.5999 4.3722
-5.7503 -0.8005 5.6150
-12.1618 -5.0485 5.8270
-8.0150 2.9948 3.4067
-10.0884 -1.0269 4.6168
0.0000 0.0000 0.0000
-8.2499 -2.6375 2.4144
-1.8385 1.6106 2.2024
-7.5634 2.1877 -0.5027
-8.9651 -7.4375 5.3659
-15.8162 -3.5474 6.5553
-4.3319 1.4686 2.6440
-9.5571 -0.4786 2.1636
-8.7525 -3.2109 4.8333
-12.6105 -1.1438 5.0927
-5.7565 -2.4954 1.9728
```

(3)
Material: CsScGeSe
Method: DFT, PBE
State: relaxed

Results
Its space group is P1 (1). As for the crystal system: triclinic. The calculation puts the energy relative to the lowest polymorph listed for this composition at 238 meV/atom. Its density of states at the Fermi level is 0.14 states/eV per cell.

Structure (POSCAR):
```
CsScGeSe
1.0
-2.0997 4.4865 1.1997
-2.9414 1.4748 -4.0570
-5.1333 -2.0631 2.4904
Cs Sc Ge Se
1 1 1 1
Cartesian
-5.2441 3.7083 1.2969
-3.5407 3.6844 -2.4492
-6.9287 -0.2658 -0.5346
-2.0879 2.6844 -0.4753
```

(4)
Material: CsScGeSe
Method: DFT, PBE
State: relaxed

Results
Its space group is Cm (8). As for the crystal system: monoclinic. The calculation puts the energy relative to the lowest polymorph listed for this composition at 57 meV/atom. Its density of states at the Fermi level is 2.29 states/eV per cell.

Structure (POSCAR):
```
CsScGeSe
1.0
8.1214 0.0000 -0.0055
0.0000 4.4290 0.0000
-1.9448 0.0000 7.2589
Cs Sc Ge Se
2 2 2 2
Cartesian
4.6254 0.0000 1.3573
3.6530 2.2145 4.9868
-0.9388 0.0000 7.2536
0.0336 2.2145 3.6241
0.8505 0.0000 5.0989
1.8229 2.2145 1.4694
6.5020 0.0000 4.4722
7.4744 2.2145 0.8428
```

(5)
Material: CsScGeSe
Method: DFT, PBE
State: relaxed

Results
Its space group is Pm (6). As for the crystal system: monoclinic. The calculation puts the energy relative to the lowest polymorph listed for this composition at 14 meV/atom. Its density of states at the Fermi level is 0.87 states/eV per cell.

Structure (POSCAR):
```
CsScGeSe
1.0
-0.5142 3.4815 2.0433
-2.3628 -1.8235 2.5124
6.5808 -5.2321 2.3914
Cs Sc Ge Se
1 1 1 1
Cartesian
0.7314 0.3358 3.9606
4.0102 -2.8813 4.7091
4.9892 -3.6194 2.0651
0.3919 0.0512 0.4057
```

(6)
Material: CsScGeSe
Method: DFT, PBE
State: relaxed

Results
Its space group is P3m1 (156). As for the crystal system: trigonal. The calculation puts the energy relative to the lowest polymorph listed for this composition at 23 meV/atom. Its density of states at the Fermi level is 1.70 states/eV per cell.

Structure (POSCAR):
```
CsScGeSe
1.0
4.3901 0.0000 0.0000
-2.1951 3.8020 0.0000
0.0000 0.0000 7.7376
Cs Sc Ge Se
1 1 1 1
Cartesian
0.0000 0.0000 4.6809
2.1951 1.2673 0.9826
0.0000 2.5346 2.1491
0.0000 2.5346 7.3485
```

Which formula does entry 6 have?
CsScGeSe